No. 1
A relaxed structure of AgAsPt2I, computed with PBE.

a = 5.113 Å, b = 5.113 Å, c = 4.670 Å
α = 90.00°, β = 90.00°, γ = 90.00°
Space group P4/mmm (No. 123)
Asymmetric unit:
Ag1 0.000 0.000 0.000
As1 0.000 0.000 0.500
Pt1 0.000 0.500 0.000
I1 0.500 0.500 0.500

Raw total energy (eV/atom): -3.079
Volume (Å³/f.u.): 122
Size of the total moment (μB/cell): 0.00
E_form (uncorrected) (eV/atom): 1.1475
Crystal system: tetragonal

No. 2
A relaxed structure of ZrNiAs2, computed with PBE.

a = 3.002 Å, b = 4.477 Å, c = 5.407 Å
α = 90.00°, β = 105.07°, γ = 90.00°
Space group Pm (No. 6)
Asymmetric unit:
Zr1 0.000 0.000 0.000
Ni1 0.368 0.500 0.710
As1 0.284 0.000 0.551
As2 0.577 0.500 0.169

Raw total energy (eV/atom): -6.342
Volume (Å³/f.u.): 70
Size of the total moment (μB/cell): 0.00
DFT formation energy (meV/atom): -435
Crystal system: monoclinic

No. 3
A relaxed structure of PmBe4C2, computed with PBE.

a = 6.444 Å, b = 6.444 Å, c = 3.285 Å
α = 90.00°, β = 90.00°, γ = 90.00°
Space group P4_2/mnm (No. 136)
Asymmetric unit:
Pm1 0.000 0.000 0.000
Be1 0.070 0.338 0.500
C1 0.216 0.784 0.500

Raw total energy (eV/atom): -5.232
Volume (Å³/f.u.): 68
Size of the total moment (μB/cell): 0.00
DFT formation energy (meV/atom): 211
Crystal system: tetragonal

Question: size of the total moment of number 2 (ZrNiAs2)?
Answer: 0.00 μB/cell